[1]
First-principles (PBE) data for a relaxed structure of CdBNF2, as listed in Alexandria via LeMat-Bulk.

Summary:
As for the density of states at the Fermi level: 0.335 states/eV/atom. The uncorrected formation energy comes out at 711 meV per atom.

Structure (POSCAR):
```
CdBNF2
1.0
-0.734 4.364 0.115
-4.350 -0.721 -0.388
-0.361 -0.176 4.377
N F B Cd
1 2 1 1
Cartesian
-0.181 -0.088 2.188 N
-2.175 -0.361 -0.194 F
-0.367 2.182 0.057 F
-2.723 1.733 2.051 B
0.000 0.000 0.000 Cd
```

***

[2]
First-principles (PBE) data for a relaxed structure of CdBNF2, as listed in Alexandria via LeMat-Bulk.

Summary:
As for the density of states at the Fermi level: 0.402 states/eV/atom. The uncorrected formation energy comes out at -892 meV per atom.

Structure (POSCAR):
```
CdBNF2
1.0
-0.385 -2.230 -3.810
1.653 -3.619 1.952
-2.534 -0.775 0.709
N F B Cd
1 2 1 1
Cartesian
-1.267 -0.387 0.355 N
0.826 -1.810 0.976 F
-0.192 -1.115 -1.905 F
0.000 0.000 0.000 B
-0.633 -3.312 -0.574 Cd
```

***

[3]
First-principles (PBE) data for a relaxed structure of CdBN2F, as listed in Alexandria via LeMat-Bulk.

Summary:
As for the density of states at the Fermi level: 0.269 states/eV/atom. The uncorrected formation energy comes out at 2010 meV per atom.

Structure (POSCAR):
```
CdBN2F
1.0
4.324 0.000 0.000
0.000 4.324 0.000
0.000 0.000 4.497
N F B Cd
2 1 1 1
Cartesian
0.000 2.162 0.000 N
2.162 0.000 0.000 N
0.000 0.000 2.248 F
2.162 2.162 2.248 B
0.000 0.000 0.000 Cd
```

***

[4]
First-principles (PBE) data for a relaxed structure of CdB2OF, as listed in Alexandria via LeMat-Bulk.

Summary:
As for the density of states at the Fermi level: 0.510 states/eV/atom. The uncorrected formation energy comes out at 731 meV per atom.

Structure (POSCAR):
```
CdB2OF
1.0
-0.991 2.644 -1.887
-4.108 1.618 4.424
2.360 1.942 1.481
B F O Cd
2 1 1 1
Cartesian
1.180 0.971 0.740 B
-0.496 1.322 -0.943 B
-1.370 3.102 2.009 F
0.000 0.000 0.000 O
-2.054 0.809 2.212 Cd
```

***

[5]
First-principles (PBE) data for a relaxed structure of CdBOF2, as listed in Alexandria via LeMat-Bulk.

Summary:
As for the density of states at the Fermi level: 0.191 states/eV/atom. The uncorrected formation energy comes out at -1400 meV per atom.

Structure (POSCAR):
```
CdBOF2
1.0
-1.293 2.109 3.847
3.500 -1.922 2.230
1.546 2.090 -0.626
B F O Cd
1 2 1 1
Cartesian
0.000 0.000 0.000 B
1.750 -0.961 1.115 F
-0.646 1.054 1.923 F
0.773 1.045 -0.313 O
1.877 1.138 2.726 Cd
```

***

[6]
First-principles (PBE) data for a relaxed structure of CdBOF2, as listed in Alexandria via LeMat-Bulk.

Summary:
As for the density of states at the Fermi level: 0.737 states/eV/atom. The uncorrected formation energy comes out at 6 meV per atom.

Structure (POSCAR):
```
CdBOF2
1.0
-2.361 -3.644 0.292
2.941 -1.687 2.728
-2.105 1.626 3.274
B F O Cd
1 2 1 1
Cartesian
-0.762 -1.853 3.147 B
1.471 -0.843 1.364 F
-1.180 -1.822 0.146 F
-1.052 0.813 1.637 O
0.000 0.000 0.000 Cd
```

***

[7]
First-principles (PBE) data for a relaxed structure of RbCdBF6, as listed in Alexandria via LeMat-Bulk.

Summary:
As for the density of states at the Fermi level: 0.000 states/eV/atom. The uncorrected formation energy comes out at -2337 meV per atom.

Structure (POSCAR):
```
RbCdBF6
1.0
5.374 0.001 0.000
2.688 4.654 0.000
0.000 -0.001 5.800
Rb Cd B F
1 1 1 6
Cartesian
5.374 0.000 5.800 Rb
5.375 3.103 2.900 Cd
2.688 1.552 2.900 B
1.348 1.575 1.937 F
2.038 0.380 3.863 F
4.026 1.575 3.862 F
1.998 2.699 3.862 F
3.377 2.699 1.938 F
3.336 0.381 1.938 F
```

***

[8]
First-principles (PBE) data for a relaxed structure of RbCdB2F8, as listed in Alexandria via LeMat-Bulk.

Summary:
As for the density of states at the Fermi level: 0.188 states/eV/atom. The uncorrected formation energy comes out at -2666 meV per atom.

Structure (POSCAR):
```
RbCdB2F8
1.0
5.352 0.000 0.000
2.676 4.635 0.000
2.676 1.545 7.865
Rb Cd B F
1 1 2 8
Cartesian
5.352 3.090 3.932 Rb
0.000 0.000 0.000 Cd
2.676 1.545 2.047 B
8.028 4.635 5.818 B
2.676 1.545 3.464 F
4.000 1.764 1.579 F
8.028 4.635 4.400 F
7.177 2.582 1.579 F
3.527 3.598 6.285 F
4.880 4.924 1.579 F
5.825 1.256 6.285 F
6.704 4.417 6.285 F
```